MgScSb2: relaxed, PBE.

Lattice parameters (Å, degrees): 10.7733 10.7733 10.7733 18.05 18.05 18.05
Atoms (fractional coordinates):
Mg: 0.0000 0.0000 0.0000
Sc: 0.2506 0.2506 0.2506
Sb: 0.5098 0.5098 0.5098
Sb: 0.7392 0.7392 0.7392

Computed properties:
* magnetic moment: 0.000 μB per formula unit
* formation energy without anion corrections: -64 meV per atom
* DOS at the Fermi energy: 3.7 states/eV per cell

PmVZn: relaxed, PBE.

Lattice parameters (Å, degrees): 3.5722 3.8083 5.0847 90.00 90.00 90.00
Atoms (fractional coordinates):
Pm: 0.0000 0.0000 0.0000
V: 0.5000 0.0000 0.5000
Zn: 0.0000 0.5000 0.5000

Computed properties:
* magnetic moment: 2.302 μB per formula unit
* energy relative to the elements: 0.366 eV/atom
* DOS at the Fermi energy: 2.6 states/eV per cell

YNbTe2: relaxed, PBE.

Lattice parameters (Å, degrees): 8.3304 8.3304 8.3304 134.53 134.53 66.26
Atoms (fractional coordinates):
Y: 0.0000 0.0000 0.0000
Y: 0.7500 0.2500 0.5000
Nb: 0.2500 0.7500 0.5000
Nb: 0.5000 0.5000 0.0000
Te: 0.1541 0.6250 0.0291
Te: 0.3750 0.4041 0.5291
Te: 0.5959 0.1250 0.9709
Te: 0.8750 0.8459 0.4709

Computed properties:
* magnetic moment: 2.316 μB per formula unit
* formation energy without anion corrections: -173 meV per atom
* ΔE to the lowest computed polymorph: 451 meV per atom
* DOS at the Fermi energy: 7.1 states/eV per cell

K2BaTe: relaxed, PBE.

Lattice parameters (Å, degrees): 4.4164 4.4164 11.4153 90.00 90.00 90.00
Atoms (fractional coordinates):
K: 0.0000 0.0000 0.0000
K: 0.5000 0.5000 0.3372
Ba: 0.5000 0.5000 0.6711
Te: 0.0000 0.0000 0.5296

Computed properties:
* magnetic moment: 0.000 μB per formula unit
* formation energy without anion corrections: -728 meV per atom
* DOS at the Fermi energy: 2.2 states/eV per cell